Record 1
A geometry-optimized CaY2Cu9 structure. Source: Alexandria, functional PBE.

Geometry as extended XYZ:
```
12
Lattice="-2.9162 1.9437 -3.8321 -5.1760 -0.3389 0.2484 -2.9880 7.8589 2.7415" Properties=species:S:1:pos:R:3 pbc="T T T"
Ca 0.0000 0.0000 0.0000
Y -8.2151 4.7025 -1.9188
Y -2.8651 4.7612 1.0767
Cu -8.3820 8.9103 0.3425
Cu -2.6981 0.5535 -1.1846
Cu -5.5401 4.7319 -0.4210
Cu -4.1179 2.6080 -0.8216
Cu -5.5758 3.5797 -2.7373
Cu -6.7055 2.4386 -0.6974
Cu -6.9622 6.8557 -0.0205
Cu -4.3746 7.0251 -0.1447
Cu -5.5043 5.8840 1.8952
```

Symmetry   R-3m

=====

Record 2
A geometry-optimized Er2ZnOs2 structure. Source: Alexandria, functional PBE.

Geometry as extended XYZ:
```
10
Lattice="5.4506 0.0000 0.0000 -2.7253 4.5818 0.0198 0.0000 -2.0826 8.0261" Properties=species:S:1:pos:R:3 pbc="T T T"
Er 1.9674 1.0734 1.2396
Er -0.7579 2.4671 2.7933
Er 0.7579 1.4258 6.8064
Er 3.4831 0.0321 5.2526
Zn 4.7212 -0.5206 2.0065
Zn 0.7294 -1.5619 6.0196
Os 1.9714 2.3237 3.9671
Os 4.6967 1.2169 0.0657
Os 0.7539 0.1756 4.0788
Os -1.9714 1.2824 7.9802
```

Symmetry   C2/c

=====

Record 3
A geometry-optimized LiAg3Au6 structure. Source: Alexandria, functional PBE.

Geometry as extended XYZ:
```
20
Lattice="4.0488 0.0000 0.0000 0.0000 9.2635 -0.0988 0.0000 0.1236 9.3570" Properties=species:S:1:pos:R:3 pbc="T T T"
Li 1.0122 8.8446 5.5902
Li 3.0366 0.5426 3.6680
Ag 1.0122 5.1591 3.6978
Ag 3.0366 4.2281 5.5604
Ag 1.0122 3.3194 7.4195
Ag 3.0366 6.0677 1.8387
Ag 1.0122 6.9565 -0.0522
Ag 3.0366 2.4307 9.3105
Au 1.0122 4.1790 0.8949
Au 3.0366 5.2082 8.3633
Au 1.0122 1.3967 1.9026
Au 3.0366 7.9904 7.3556
Au 1.0122 6.1312 6.4565
Au 3.0366 3.2560 2.8017
Au 1.0122 2.2697 4.6464
Au 3.0366 7.1175 4.6118
Au 1.0122 7.9933 2.8197
Au 3.0366 1.3938 6.4385
Au 1.0122 0.5604 8.3799
Au 3.0366 8.8268 0.8783
```

Symmetry   P2_1/m

=====

Record 4
A geometry-optimized SmPt2Au4 structure. Source: Alexandria, functional PBE.

Geometry as extended XYZ:
```
7
Lattice="-2.5975 -1.1005 4.6874 -2.9611 -4.8037 0.4118 2.7452 -2.8741 4.0269" Properties=species:S:1:pos:R:3 pbc="T T T"
Sm 0.0000 0.0000 0.0000
Pt -2.0548 -4.6641 5.7329
Pt -0.7586 -4.1142 3.3933
Au -0.8539 -6.5313 7.5521
Au -1.9593 -2.2470 1.5740
Au -3.1261 -7.2998 6.1126
Au 0.3128 -1.4786 3.0135
```

Symmetry   C2/m

=====

Record 5
A geometry-optimized ZrAg3 structure. Source: Alexandria, functional PBE.

Geometry as extended XYZ:
```
4
Lattice="4.2782 0.0000 0.0000 0.0000 4.2782 0.0000 0.0000 0.0000 4.2782" Properties=species:S:1:pos:R:3 pbc="T T T"
Ag 0.0000 0.0000 0.0000
Ag 0.0000 2.1391 2.1391
Ag 2.1391 0.0000 2.1391
Zr 2.1391 2.1391 0.0000
```

Symmetry   Pm-3m

=====

| no. | ΔE_f (meV per atom) | total magnetization (μB/cell) |
| --- | --- | --- |
| 1 | -162 | 0.0 |
| 2 | -257 | 0.0 |
| 3 | -151 | 0.0 |
| 4 | -425 | 0.0 |
| 5 | 209 | 0.0 |